Entry 1:
LiYS2O8: optimized geometry, GGA-PBE.

```
12
Lattice="5.370 0.000 0.000 -2.685 4.650 0.000 0.000 0.000 6.642" Properties=species:S:1:pos:R:3 pbc="T T T"
Li 0.000 0.000 0.000
Y 0.000 0.000 3.321
S 0.000 3.100 5.329
S 2.685 1.550 1.314
O 0.000 1.699 4.785
O -1.214 3.801 4.785
O 0.000 3.100 0.129
O 1.471 0.849 1.857
O 1.214 3.801 4.785
O 2.685 1.550 6.514
O 3.899 0.849 1.857
O 2.685 2.952 1.857
```

E: -6.67 eV per atom
space group: P-3m1
calculated volume: 13.8 A^3/atom
ρ: 2.88 g/cm3
total magnetization: 0.00 μB per atom

Entry 2:
LiYSO: optimized geometry, GGA-PBE.

```
8
Lattice="3.853 0.000 0.000 0.000 3.853 0.000 0.000 0.000 8.606" Properties=species:S:1:pos:R:3 pbc="T T T"
Li 0.963 2.890 0.000
Li 2.890 0.963 0.000
Y 0.963 0.963 3.164
Y 2.890 2.890 5.442
S 0.963 0.963 7.125
S 2.890 2.890 1.481
O 0.963 2.890 4.303
O 2.890 0.963 4.303
```

E: -6.79 eV per atom
space group: P4/nmm
calculated volume: 16.0 A^3/atom
ρ: 3.74 g/cm3
total magnetization: 0.00 μB per atom

Entry 3:
Li2ZnSO4: optimized geometry, GGA-PBE.

```
16
Lattice="4.583 0.000 0.000 0.000 4.583 0.000 0.000 0.000 8.918" Properties=species:S:1:pos:R:3 pbc="T T T"
Li 0.000 0.000 0.000
Li 0.000 2.291 2.229
Li 2.291 0.000 6.688
Li 2.291 2.291 4.459
Zn 0.000 0.000 4.459
Zn 2.291 2.291 0.000
S 0.000 2.291 6.688
S 2.291 0.000 2.229
O 1.058 1.220 5.633
O 1.072 3.350 7.743
O 1.220 3.524 3.284
O 1.233 1.072 1.175
O 3.350 3.511 1.175
O 3.363 1.058 3.284
O 3.511 1.233 7.743
O 3.524 3.363 5.633
```

E: -4.81 eV per atom
space group: I-4
calculated volume: 11.7 A^3/atom
ρ: 3.11 g/cm3
total magnetization: 0.00 μB per atom